# 1
{
  "formula": "YbPmCu2",
  "functional": "PBE",
  "state": "optimized geometry",
  "lattice_angstrom": [[4.9847, 0.0000, 0.0000], [2.4924, 4.3169, 0.0000], [2.4924, 1.4390, 4.0700]],
  "species": ["Yb", "Cu", "Cu", "Pm"],
  "fractional_positions": [[0.0000, 0.0000, 0.0000], [0.7500, 0.7500, 0.7500], [0.2500, 0.2500, 0.2500], [0.5000, 0.5000, 0.5000]],
  "spacegroup": "Fm-3m, No. 225",
  "total_energy_ev_per_atom": -3.83,
  "m_tot_mub_per_fu": 0.215
}


# 2
{
  "formula": "Pm2ZnCu16",
  "functional": "PBE",
  "state": "optimized geometry",
  "lattice_angstrom": [[6.4734, 0.0390, 0.7732], [0.6909, 6.4365, 0.7732], [0.0431, 0.0390, 6.5193]],
  "species": ["Pm", "Pm", "Zn", "Cu", "Cu", "Cu", "Cu", "Cu", "Cu", "Cu", "Cu", "Cu", "Cu", "Cu", "Cu", "Cu", "Cu", "Cu", "Cu"],
  "fractional_positions": [[0.6517, 0.6517, 0.6517], [0.3409, 0.3409, 0.3409], [0.9019, 0.9019, 0.9019], [0.7065, 0.0006, 0.2958], [0.0006, 0.2958, 0.7065], [0.2958, 0.7065, 0.0006], [0.0006, 0.7065, 0.2958], [0.7065, 0.2958, 0.0006], [0.2958, 0.0006, 0.7065], [0.3446, 0.8476, 0.3446], [0.8476, 0.3446, 0.3446], [0.3446, 0.3446, 0.8476], [0.6542, 0.1541, 0.6542], [0.1541, 0.6542, 0.6542], [0.6542, 0.6542, 0.1541], [0.0009, 0.5000, 0.0009], [0.5000, 0.0009, 0.0009], [0.0009, 0.0009, 0.5000], [0.0986, 0.0986, 0.0986]],
  "spacegroup": "R3m, No. 160",
  "total_energy_ev_per_atom": -4.14,
  "m_tot_mub_per_fu": 0.000
}


# 3
{
  "formula": "Pm3ZnCu3",
  "functional": "PBE",
  "state": "optimized geometry",
  "lattice_angstrom": [[-4.0397, 0.1208, 1.8583], [3.9004, -3.0205, 8.6754], [-0.6534, 9.7445, -2.0538]],
  "species": ["Pm", "Pm", "Pm", "Pm", "Pm", "Pm", "Zn", "Zn", "Cu", "Cu", "Cu", "Cu", "Cu", "Cu"],
  "fractional_positions": [[0.7500, 0.7901, 0.5801], [0.7500, 0.4199, 0.2100], [0.7500, 0.7900, 0.2099], [0.2500, 0.2099, 0.4199], [0.2500, 0.5801, 0.7900], [0.2500, 0.2100, 0.7901], [0.2500, 0.6667, 0.3333], [0.7500, 0.3333, 0.6667], [0.2500, 0.5285, 0.4713], [0.2500, 0.5287, 0.0572], [0.2500, 0.9428, 0.4715], [0.7500, 0.4715, 0.5287], [0.7500, 0.4713, 0.9428], [0.7500, 0.0572, 0.5285]],
  "spacegroup": "P6_3/mmc, No. 194",
  "relative_energy_mev_per_atom": 158,
  "m_tot_mub_per_fu": 0.000
}


# 4
{
  "formula": "Pm6Zn3Cu",
  "functional": "PBE",
  "state": "optimized geometry",
  "lattice_angstrom": [[-3.8160, 3.1298, 1.2551], [-1.1498, 2.2297, -9.0559], [-6.6450, -9.1345, 2.5755]],
  "species": ["Pm", "Pm", "Pm", "Pm", "Pm", "Pm", "Pm", "Pm", "Pm", "Pm", "Pm", "Pm", "Zn", "Zn", "Zn", "Zn", "Zn", "Zn", "Cu", "Cu"],
  "fractional_positions": [[0.2500, 0.4840, 0.1017], [0.7500, 0.5160, 0.8983], [0.2500, 0.1197, 0.1460], [0.7500, 0.8803, 0.8540], [0.2500, 0.6542, 0.6849], [0.7500, 0.3458, 0.3151], [0.2500, 0.2741, 0.4953], [0.7500, 0.7259, 0.5047], [0.2500, 0.8741, 0.3501], [0.7500, 0.1259, 0.6499], [0.2500, 0.1223, 0.8648], [0.7500, 0.8777, 0.1352], [0.2500, 0.5407, 0.3797], [0.7500, 0.4593, 0.6203], [0.2500, 0.3782, 0.7706], [0.7500, 0.6218, 0.2294], [0.2500, 0.7642, 0.9749], [0.7500, 0.2358, 0.0251], [0.2500, 0.9232, 0.6161], [0.7500, 0.0768, 0.3839]],
  "spacegroup": "P2_1/m, No. 11",
  "total_energy_ev_per_atom": -3.82,
  "m_tot_mub_per_fu": 0.000
}


# 5
{
  "formula": "PmZnCu",
  "functional": "PBE",
  "state": "optimized geometry",
  "lattice_angstrom": [[4.5675, 0.0000, 0.0000], [2.2837, 3.9556, 0.0000], [2.2837, 1.3185, 3.7293]],
  "species": ["Zn", "Cu", "Pm"],
  "fractional_positions": [[0.5000, 0.5000, 0.5000], [0.2500, 0.2500, 0.2500], [0.0000, 0.0000, 0.0000]],
  "spacegroup": "F-43m, No. 216",
  "relative_energy_mev_per_atom": 176,
  "m_tot_mub_per_fu": 0.001
}


# 6
{
  "formula": "Pm2ZnCu2",
  "functional": "PBE",
  "state": "optimized geometry",
  "lattice_angstrom": [[-4.1299, -1.3952, -0.4904], [-0.8219, -5.1790, 2.0364], [-4.3665, 3.2049, 8.0346]],
  "species": ["Pm", "Pm", "Pm", "Pm", "Zn", "Zn", "Cu", "Cu", "Cu", "Cu"],
  "fractional_positions": [[0.6795, 0.3003, 0.3408], [0.9141, 0.2833, 0.8885], [0.3205, 0.6997, 0.6592], [0.0859, 0.7167, 0.1115], [0.6230, 0.1038, 0.6501], [0.3770, 0.8962, 0.3499], [0.0765, 0.2839, 0.5631], [0.6228, 0.8670, 0.8874], [0.9235, 0.7161, 0.4369], [0.3772, 0.1330, 0.1126]],
  "spacegroup": "C2/m, No. 12",
  "relative_energy_mev_per_atom": 0,
  "m_tot_mub_per_fu": 0.000
}


# 7
{
  "formula": "Pm2Zn12Cu5",
  "functional": "PBE",
  "state": "optimized geometry",
  "lattice_angstrom": [[6.6924, 0.1340, 0.7085], [0.6514, 6.6619, 0.7085], [0.1448, 0.1340, 6.7282]],
  "species": ["Pm", "Pm", "Zn", "Zn", "Zn", "Zn", "Zn", "Zn", "Zn", "Zn", "Zn", "Zn", "Zn", "Zn", "Cu", "Cu", "Cu", "Cu", "Cu"],
  "fractional_positions": [[0.6627, 0.6627, 0.6627], [0.3372, 0.3372, 0.3372], [0.2877, 0.7123, 0.0000], [0.7123, 0.0000, 0.2877], [0.0000, 0.2877, 0.7123], [0.7123, 0.2877, 0.0000], [0.2877, 0.0000, 0.7123], [0.0000, 0.7123, 0.2877], [0.3451, 0.3451, 0.8535], [0.3451, 0.8535, 0.3451], [0.8535, 0.3451, 0.3451], [0.6549, 0.1465, 0.6549], [0.6549, 0.6549, 0.1465], [0.1465, 0.6549, 0.6549], [0.0000, 0.0000, 0.5000], [0.0000, 0.5000, 0.0000], [0.5000, 0.0000, 0.0000], [0.8996, 0.8996, 0.8996], [0.1004, 0.1004, 0.1004]],
  "spacegroup": "R-3m, No. 166",
  "total_energy_ev_per_atom": -2.62,
  "m_tot_mub_per_fu": 0.000
}


# 8
{
  "formula": "Pm4Zn5Cu2",
  "functional": "PBE",
  "state": "optimized geometry",
  "lattice_angstrom": [[-2.6450, 2.6426, 0.6107], [-5.0263, -4.9784, -0.2271], [1.2632, -0.8154, 9.0000]],
  "species": ["Pm", "Pm", "Pm", "Pm", "Zn", "Zn", "Zn", "Zn", "Zn", "Cu", "Cu"],
  "fractional_positions": [[0.5000, 0.7444, 0.5612], [0.5000, 0.1767, 0.8728], [0.5000, 0.2556, 0.4388], [0.5000, 0.8233, 0.1272], [0.0000, 0.5592, 0.2958], [0.0000, 0.1998, 0.1598], [0.0000, 0.5000, 0.0000], [0.0000, 0.8002, 0.8402], [0.0000, 0.4408, 0.7042], [0.0000, 0.0628, 0.6348], [0.0000, 0.9372, 0.3652]],
  "spacegroup": "P2/m, No. 10",
  "total_energy_ev_per_atom": -3.28,
  "m_tot_mub_per_fu": 0.000
}


# 9
{
  "formula": "PmZn6Cu2",
  "functional": "PBE",
  "state": "optimized geometry",
  "lattice_angstrom": [[4.1459, 0.0000, 0.0000], [0.0000, 4.1459, 0.0000], [0.0000, 0.0000, 8.6435]],
  "species": ["Pm", "Zn", "Zn", "Zn", "Zn", "Zn", "Zn", "Cu", "Cu"],
  "fractional_positions": [[0.0000, 0.0000, 0.0000], [0.0000, 0.5000, 0.2988], [0.5000, 0.0000, 0.2988], [0.0000, 0.5000, 0.7012], [0.5000, 0.0000, 0.7012], [0.5000, 0.5000, 0.5000], [0.0000, 0.0000, 0.5000], [0.5000, 0.5000, 0.1391], [0.5000, 0.5000, 0.8609]],
  "spacegroup": "P4/mmm, No. 123",
  "relative_energy_mev_per_atom": 0,
  "m_tot_mub_per_fu": 0.000
}


# 10
{
  "formula": "Pm3ZnCu3",
  "functional": "PBE",
  "state": "optimized geometry",
  "lattice_angstrom": [[-2.3449, 1.6087, 3.2028], [-5.4036, -1.4631, -0.3575], [1.1001, -10.7066, 9.0467]],
  "species": ["Pm", "Pm", "Pm", "Pm", "Pm", "Pm", "Zn", "Zn", "Cu", "Cu", "Cu", "Cu", "Cu", "Cu"],
  "fractional_positions": [[0.5422, 0.3064, 0.6092], [0.4578, 0.6936, 0.3908], [0.2498, 0.2685, 0.2320], [0.7502, 0.7315, 0.7680], [0.3927, 0.2928, 0.9218], [0.6073, 0.7072, 0.0782], [0.7521, 0.1000, 0.3958], [0.2479, 0.9000, 0.6042], [0.8703, 0.7154, 0.5439], [0.1297, 0.2846, 0.4561], [0.1000, 0.8783, 0.9216], [0.9000, 0.1217, 0.0784], [0.9563, 0.8535, 0.2339], [0.0437, 0.1465, 0.7661]],
  "spacegroup": "C2/m, No. 12",
  "relative_energy_mev_per_atom": 0,
  "m_tot_mub_per_fu": 0.000
}


# 11
{
  "formula": "Pm3ZnCu2",
  "functional": "PBE",
  "state": "optimized geometry",
  "lattice_angstrom": [[5.0892, 0.0000, 0.0000], [-2.5446, 4.4074, 0.0000], [0.0000, 0.0000, 12.4881]],
  "species": ["Pm", "Pm", "Pm", "Pm", "Pm", "Pm", "Zn", "Zn", "Cu", "Cu", "Cu", "Cu"],
  "fractional_positions": [[0.3333, 0.6667, 0.4174], [0.6667, 0.3333, 0.0788], [0.0000, 0.0000, 0.7546], [0.0000, 0.0000, 0.2454], [0.3333, 0.6667, 0.9212], [0.6667, 0.3333, 0.5826], [0.3333, 0.6667, 0.6697], [0.6667, 0.3333, 0.3303], [0.0000, 0.0000, 0.5000], [0.3333, 0.6667, 0.1723], [0.6667, 0.3333, 0.8277], [0.0000, 0.0000, 0.0000]],
  "spacegroup": "P-3m1, No. 164",
  "relative_energy_mev_per_atom": 9,
  "m_tot_mub_per_fu": 0.000
}


# 12
{
  "formula": "Pm7Zn2Cu2",
  "functional": "PBE",
  "state": "optimized geometry",
  "lattice_angstrom": [[6.6875, -0.0026, -1.0029], [0.0031, 7.3184, 0.0033], [-1.4176, -0.0022, 6.6120]],
  "species": ["Pm", "Pm", "Pm", "Pm", "Pm", "Pm", "Pm", "Zn", "Zn", "Cu", "Cu"],
  "fractional_positions": [[0.9998, 0.2705, 0.5003], [0.5003, 0.7296, 0.9998], [0.0002, 0.7296, 0.4997], [0.4997, 0.2705, 0.0002], [0.0000, 0.0000, 0.0000], [0.5002, 0.7440, 0.4998], [0.4998, 0.2560, 0.5002], [0.8364, 0.5000, 0.8364], [0.1636, 0.5000, 0.1636], [0.7040, 0.0000, 0.2960], [0.2960, 0.0000, 0.7040]],
  "spacegroup": "Cmmm, No. 65",
  "total_energy_ev_per_atom": -3.97,
  "m_tot_mub_per_fu": 0.000
}